{
  "formula": "SrFeP2O7",
  "functional": "SCAN",
  "state": "single point on PBEsol structure",
  "cell": [[5.362, 0.000, 0.000], [0.000, 8.195, 0.000], [-5.264, 0.000, 12.648]],
  "species": ["Sr", "Sr", "Sr", "Sr", "Fe", "Fe", "Fe", "Fe", "P", "P", "P", "P", "P", "P", "P", "P", "O", "O", "O", "O", "O", "O", "O", "O", "O", "O", "O", "O", "O", "O", "O", "O", "O", "O", "O", "O", "O", "O", "O", "O", "O", "O", "O", "O"],
  "fractional_positions": [[0.067, 0.159, 0.280], [0.067, 0.341, 0.780], [0.933, 0.659, 0.220], [0.933, 0.841, 0.720], [0.430, 0.152, 0.605], [0.430, 0.348, 0.105], [0.570, 0.652, 0.895], [0.570, 0.848, 0.395], [0.202, 0.697, 0.017], [0.202, 0.803, 0.517], [0.414, 0.537, 0.664], [0.414, 0.963, 0.164], [0.586, 0.037, 0.836], [0.586, 0.463, 0.336], [0.798, 0.197, 0.483], [0.798, 0.303, 0.983], [0.068, 0.166, 0.473], [0.068, 0.334, 0.973], [0.196, 0.681, 0.905], [0.196, 0.819, 0.405], [0.283, 0.060, 0.797], [0.283, 0.440, 0.297], [0.283, 0.614, 0.547], [0.283, 0.622, 0.732], [0.283, 0.878, 0.232], [0.283, 0.886, 0.047], [0.325, 0.142, 0.151], [0.325, 0.358, 0.651], [0.430, 0.594, 0.098], [0.430, 0.906, 0.598], [0.570, 0.094, 0.402], [0.570, 0.406, 0.902], [0.675, 0.642, 0.349], [0.675, 0.858, 0.849], [0.717, 0.114, 0.953], [0.717, 0.122, 0.768], [0.717, 0.378, 0.268], [0.717, 0.386, 0.453], [0.717, 0.560, 0.703], [0.717, 0.940, 0.203], [0.804, 0.181, 0.595], [0.804, 0.319, 0.095], [0.932, 0.666, 0.027], [0.932, 0.834, 0.527]]
}

---

{
  "formula": "FeTcPO2",
  "functional": "SCAN",
  "state": "single point on PBEsol structure",
  "cell": [[3.535, 0.000, 0.000], [0.000, 3.535, 0.000], [0.000, 0.000, 4.834]],
  "species": ["Fe", "Tc", "P", "O", "O"],
  "fractional_positions": [[0.000, 0.000, 0.000], [0.500, 0.500, 0.500], [0.000, 0.000, 0.500], [0.000, 0.500, 0.000], [0.500, 0.000, 0.000]],
  "relative_energy_ev_per_atom": 0.284
}

---

{
  "formula": "FeTcPO2",
  "functional": "SCAN",
  "state": "single point on PBEsol structure",
  "cell": [[3.649, 0.000, 0.000], [0.000, 3.649, 0.000], [0.000, 0.000, 5.164]],
  "species": ["Fe", "Tc", "P", "O", "O"],
  "fractional_positions": [[0.000, 0.000, 0.000], [0.500, 0.500, 0.500], [0.500, 0.500, 0.000], [0.000, 0.500, 0.500], [0.500, 0.000, 0.500]],
  "relative_energy_ev_per_atom": 0.000
}

---

{
  "formula": "V3Fe2TeP6O24",
  "functional": "SCAN",
  "state": "single point on PBEsol structure",
  "cell": [[4.341, 2.506, 6.709], [-4.341, 2.506, 6.709], [0.000, -5.013, 6.709]],
  "species": ["V", "V", "V", "Fe", "Fe", "Te", "P", "P", "P", "P", "P", "P", "O", "O", "O", "O", "O", "O", "O", "O", "O", "O", "O", "O", "O", "O", "O", "O", "O", "O", "O", "O", "O", "O", "O", "O"],
  "fractional_positions": [[0.000, 0.000, 0.000], [0.217, 0.217, 0.217], [0.713, 0.713, 0.713], [0.353, 0.353, 0.353], [0.857, 0.857, 0.857], [0.504, 0.504, 0.504], [0.101, 0.401, 0.819], [0.298, 0.909, 0.608], [0.401, 0.819, 0.101], [0.608, 0.298, 0.909], [0.819, 0.101, 0.401], [0.909, 0.608, 0.298], [0.034, 0.241, 0.862], [0.104, 0.934, 0.768], [0.105, 0.450, 0.295], [0.168, 0.366, 0.978], [0.241, 0.862, 0.034], [0.264, 0.410, 0.618], [0.295, 0.105, 0.450], [0.300, 0.770, 0.536], [0.366, 0.978, 0.168], [0.410, 0.618, 0.264], [0.450, 0.295, 0.105], [0.468, 0.841, 0.672], [0.536, 0.300, 0.770], [0.599, 0.793, 0.945], [0.618, 0.264, 0.410], [0.672, 0.468, 0.841], [0.768, 0.104, 0.934], [0.770, 0.536, 0.300], [0.793, 0.945, 0.599], [0.841, 0.672, 0.468], [0.862, 0.034, 0.241], [0.934, 0.768, 0.104], [0.945, 0.599, 0.793], [0.978, 0.168, 0.366]]
}

---

{
  "formula": "Ti3FeP6O24",
  "functional": "SCAN",
  "state": "single point on PBEsol structure",
  "cell": [[4.190, 2.419, 7.304], [-4.190, 2.419, 7.304], [0.000, -4.838, 7.304]],
  "species": ["Ti", "Ti", "Ti", "Fe", "P", "P", "P", "P", "P", "P", "O", "O", "O", "O", "O", "O", "O", "O", "O", "O", "O", "O", "O", "O", "O", "O", "O", "O", "O", "O", "O", "O", "O", "O"],
  "fractional_positions": [[0.000, 0.000, 0.000], [0.216, 0.216, 0.216], [0.721, 0.721, 0.721], [0.506, 0.506, 0.506], [0.121, 0.818, 0.391], [0.330, 0.614, 0.880], [0.391, 0.121, 0.818], [0.614, 0.880, 0.330], [0.818, 0.391, 0.121], [0.880, 0.330, 0.614], [0.008, 0.369, 0.112], [0.040, 0.326, 0.416], [0.085, 0.847, 0.223], [0.112, 0.008, 0.369], [0.136, 0.773, 0.935], [0.223, 0.085, 0.847], [0.326, 0.416, 0.040], [0.328, 0.661, 0.381], [0.348, 0.631, 0.684], [0.369, 0.112, 0.008], [0.381, 0.328, 0.661], [0.416, 0.040, 0.326], [0.492, 0.652, 0.856], [0.586, 0.967, 0.752], [0.631, 0.684, 0.348], [0.652, 0.856, 0.492], [0.661, 0.381, 0.328], [0.684, 0.348, 0.631], [0.752, 0.586, 0.967], [0.773, 0.935, 0.136], [0.847, 0.223, 0.085], [0.856, 0.492, 0.652], [0.935, 0.136, 0.773], [0.967, 0.752, 0.586]]
}

---

{
  "formula": "TiFeP2O8",
  "functional": "SCAN",
  "state": "single point on PBEsol structure",
  "cell": [[4.888, 0.000, 0.000], [0.000, 5.884, 0.000], [-0.011, 0.000, 9.845]],
  "species": ["Ti", "Ti", "Fe", "Fe", "P", "P", "P", "P", "O", "O", "O", "O", "O", "O", "O", "O", "O", "O", "O", "O", "O", "O", "O", "O"],
  "fractional_positions": [[0.034, 0.250, 0.273], [0.966, 0.750, 0.727], [0.466, 0.250, 0.771], [0.534, 0.750, 0.229], [0.070, 0.750, 0.403], [0.393, 0.750, 0.903], [0.607, 0.250, 0.097], [0.930, 0.250, 0.597], [0.149, 0.750, 0.555], [0.209, 0.543, 0.329], [0.209, 0.957, 0.329], [0.238, 0.250, 0.612], [0.240, 0.550, 0.828], [0.240, 0.950, 0.828], [0.303, 0.250, 0.134], [0.352, 0.750, 0.054], [0.648, 0.250, 0.946], [0.697, 0.750, 0.866], [0.760, 0.050, 0.172], [0.760, 0.450, 0.172], [0.762, 0.750, 0.388], [0.791, 0.043, 0.671], [0.791, 0.457, 0.671], [0.851, 0.250, 0.445]]
}

---

{
  "formula": "VFeP4O14",
  "functional": "SCAN",
  "state": "single point on PBEsol structure",
  "cell": [[4.739, 0.000, 0.000], [-1.790, 6.598, 0.000], [-0.035, -0.086, 7.801]],
  "species": ["V", "Fe", "P", "P", "P", "P", "O", "O", "O", "O", "O", "O", "O", "O", "O", "O", "O", "O", "O", "O"],
  "fractional_positions": [[0.000, 0.000, 0.000], [0.434, 0.459, 0.500], [0.463, 0.834, 0.244], [0.596, 0.237, 0.810], [0.823, 0.229, 0.323], [0.984, 0.618, 0.728], [0.060, 0.811, 0.840], [0.070, 0.282, 0.453], [0.212, 0.914, 0.174], [0.268, 0.563, 0.688], [0.342, 0.647, 0.346], [0.343, 0.195, 0.936], [0.501, 0.244, 0.625], [0.615, 0.366, 0.316], [0.645, 0.003, 0.374], [0.667, 0.816, 0.095], [0.776, 0.081, 0.827], [0.795, 0.632, 0.572], [0.800, 0.455, 0.861], [0.927, 0.207, 0.139]]
}

---

{
  "formula": "V5FeP6O24",
  "functional": "SCAN",
  "state": "single point on PBEsol structure",
  "cell": [[4.250, 2.454, 6.625], [-4.250, 2.454, 6.625], [0.000, -4.907, 6.625]],
  "species": ["V", "V", "V", "V", "V", "Fe", "P", "P", "P", "P", "P", "P", "O", "O", "O", "O", "O", "O", "O", "O", "O", "O", "O", "O", "O", "O", "O", "O", "O", "O", "O", "O", "O", "O", "O", "O"],
  "fractional_positions": [[0.000, 0.000, 0.000], [0.139, 0.139, 0.139], [0.362, 0.362, 0.362], [0.501, 0.501, 0.501], [0.860, 0.860, 0.860], [0.635, 0.635, 0.635], [0.033, 0.460, 0.749], [0.252, 0.958, 0.542], [0.460, 0.749, 0.033], [0.542, 0.252, 0.958], [0.749, 0.033, 0.460], [0.958, 0.542, 0.252], [0.058, 0.253, 0.905], [0.095, 0.940, 0.747], [0.117, 0.502, 0.322], [0.178, 0.999, 0.385], [0.242, 0.446, 0.593], [0.253, 0.905, 0.058], [0.322, 0.117, 0.502], [0.385, 0.178, 0.999], [0.408, 0.753, 0.557], [0.446, 0.593, 0.242], [0.494, 0.680, 0.877], [0.502, 0.322, 0.117], [0.557, 0.408, 0.753], [0.593, 0.242, 0.446], [0.615, 0.825, 0.995], [0.680, 0.877, 0.494], [0.747, 0.095, 0.940], [0.753, 0.557, 0.408], [0.825, 0.995, 0.615], [0.877, 0.494, 0.680], [0.905, 0.058, 0.253], [0.940, 0.747, 0.095], [0.995, 0.615, 0.825], [0.999, 0.385, 0.178]]
}

---

{
  "formula": "V2Fe3P6WO24",
  "functional": "SCAN",
  "state": "single point on PBEsol structure",
  "cell": [[4.303, 2.485, 6.623], [-4.303, 2.485, 6.623], [0.000, -4.969, 6.623]],
  "species": ["V", "V", "Fe", "Fe", "Fe", "P", "P", "P", "P", "P", "P", "W", "O", "O", "O", "O", "O", "O", "O", "O", "O", "O", "O", "O", "O", "O", "O", "O", "O", "O", "O", "O", "O", "O", "O", "O"],
  "fractional_positions": [[0.000, 0.000, 0.000], [0.496, 0.496, 0.496], [0.145, 0.145, 0.145], [0.636, 0.636, 0.636], [0.855, 0.855, 0.855], [0.024, 0.759, 0.455], [0.253, 0.548, 0.949], [0.455, 0.024, 0.759], [0.548, 0.949, 0.253], [0.759, 0.455, 0.024], [0.949, 0.253, 0.548], [0.363, 0.363, 0.363], [0.000, 0.827, 0.608], [0.049, 0.907, 0.251], [0.101, 0.748, 0.946], [0.112, 0.331, 0.496], [0.180, 0.391, 0.991], [0.235, 0.599, 0.436], [0.251, 0.049, 0.907], [0.331, 0.496, 0.112], [0.391, 0.991, 0.180], [0.409, 0.561, 0.748], [0.436, 0.235, 0.599], [0.496, 0.112, 0.331], [0.497, 0.874, 0.678], [0.561, 0.748, 0.409], [0.599, 0.436, 0.235], [0.608, 0.000, 0.827], [0.678, 0.497, 0.874], [0.748, 0.409, 0.561], [0.748, 0.946, 0.101], [0.827, 0.608, 0.000], [0.874, 0.678, 0.497], [0.907, 0.251, 0.049], [0.946, 0.101, 0.748], [0.991, 0.180, 0.391]]
}

---

{
  "formula": "FeP2WO8",
  "functional": "SCAN",
  "state": "single point on PBEsol structure",
  "cell": [[4.857, 0.000, 0.000], [0.000, 5.908, 0.000], [-0.431, 0.000, 9.945]],
  "species": ["Fe", "Fe", "P", "P", "P", "P", "W", "W", "O", "O", "O", "O", "O", "O", "O", "O", "O", "O", "O", "O", "O", "O", "O", "O"],
  "fractional_positions": [[0.058, 0.250, 0.225], [0.942, 0.750, 0.775], [0.120, 0.750, 0.092], [0.400, 0.750, 0.589], [0.600, 0.250, 0.411], [0.880, 0.250, 0.908], [0.438, 0.250, 0.722], [0.562, 0.750, 0.278], [0.157, 0.750, 0.942], [0.186, 0.250, 0.878], [0.260, 0.543, 0.660], [0.260, 0.957, 0.660], [0.280, 0.549, 0.166], [0.280, 0.951, 0.166], [0.290, 0.250, 0.388], [0.317, 0.750, 0.438], [0.683, 0.250, 0.562], [0.710, 0.750, 0.612], [0.720, 0.049, 0.834], [0.720, 0.451, 0.834], [0.740, 0.043, 0.340], [0.740, 0.457, 0.340], [0.814, 0.750, 0.122], [0.843, 0.250, 0.058]]
}

---

{
  "formula": "FeP6W3O24",
  "functional": "SCAN",
  "state": "single point on PBEsol structure",
  "cell": [[4.307, 2.487, 7.363], [-4.307, 2.487, 7.363], [0.000, -4.974, 7.363]],
  "species": ["Fe", "P", "P", "P", "P", "P", "P", "W", "W", "W", "O", "O", "O", "O", "O", "O", "O", "O", "O", "O", "O", "O", "O", "O", "O", "O", "O", "O", "O", "O", "O", "O", "O", "O"],
  "fractional_positions": [[0.000, 0.000, 0.000], [0.107, 0.676, 0.390], [0.175, 0.614, 0.892], [0.390, 0.107, 0.676], [0.614, 0.892, 0.175], [0.676, 0.390, 0.107], [0.892, 0.175, 0.614], [0.285, 0.285, 0.285], [0.499, 0.499, 0.499], [0.784, 0.784, 0.784], [0.006, 0.640, 0.859], [0.076, 0.188, 0.441], [0.102, 0.841, 0.211], [0.133, 0.493, 0.383], [0.160, 0.789, 0.893], [0.188, 0.441, 0.076], [0.211, 0.102, 0.841], [0.269, 0.632, 0.445], [0.359, 0.553, 0.731], [0.383, 0.133, 0.493], [0.441, 0.076, 0.188], [0.445, 0.269, 0.632], [0.493, 0.383, 0.133], [0.553, 0.731, 0.359], [0.562, 0.924, 0.712], [0.632, 0.445, 0.269], [0.640, 0.859, 0.006], [0.712, 0.562, 0.924], [0.731, 0.359, 0.553], [0.789, 0.893, 0.160], [0.841, 0.211, 0.102], [0.859, 0.006, 0.640], [0.893, 0.160, 0.789], [0.924, 0.712, 0.562]]
}

---

{
  "formula": "FePWO2",
  "functional": "SCAN",
  "state": "single point on PBEsol structure",
  "cell": [[3.748, 0.000, 0.000], [0.000, 3.748, 0.000], [0.000, 0.000, 5.078]],
  "species": ["Fe", "P", "W", "O", "O"],
  "fractional_positions": [[0.000, 0.000, 0.000], [0.500, 0.500, 0.000], [0.500, 0.500, 0.500], [0.000, 0.500, 0.500], [0.500, 0.000, 0.500]]
}

---

ΔE_f (raw), record by record: -2.623, -0.270, -0.554, -2.256, -2.481, -2.523, -2.271, -2.456, -2.242, -2.053, -2.257, -0.813 eV per atom
Spin magnetization, record by record: 4.00, 6.28, 3.00, 13.17, 4.17, 3.98, 2.03, 9.00, 14.68, 5.97, 7.47, 3.37 μB per formula unit
Energy, record by record: -12.153, -15.480, -15.764, -11.642, -10.663, -11.257, -10.493, -11.275, -12.548, -15.258, -15.173, -22.948 eV per atom